1.
Below is a relaxed BeOsRh4 crystal, with properties calculated at the PBE-GGA level.

a = 5.019 Å, b = 5.019 Å, c = 5.019 Å
α = 60.00°, β = 60.00°, γ = 60.00°
Positions (direct):
Be: 0.000 0.000 0.000
Os: 0.750 0.750 0.750
Rh: 0.375 0.375 0.375
Rh: 0.375 0.375 0.876
Rh: 0.375 0.876 0.375
Rh: 0.876 0.375 0.375

* density of states at the Fermi level: 1.456 states/eV/atom
* crystal system: cubic
* uncorrected energy: -6.74 eV per atom
* mass density: 11.35 g cm⁻³
* size of the total moment: 1.896 μB per formula unit
* ΔH_f (0 K): 0.652 eV/atom


2.
Below is a relaxed LiDyMg4 crystal, with properties calculated at the PBE-GGA level.

a = 3.427 Å, b = 3.427 Å, c = 11.925 Å
α = 90.00°, β = 90.00°, γ = 90.00°
Positions (direct):
Li: 0.000 0.000 0.000
Dy: 0.500 0.500 0.500
Mg: 0.000 0.000 0.306
Mg: 0.000 0.000 0.694
Mg: 0.500 0.500 0.142
Mg: 0.500 0.500 0.858

* density of states at the Fermi level: 0.431 states/eV/atom
* crystal system: tetragonal
* uncorrected energy: -2.21 eV per atom
* mass density: 3.16 g cm⁻³
* size of the total moment: 0.163 μB per formula unit
* ΔH_f (0 K): -0.058 eV/atom